Record 1
# PBE-GGA Tb8Sm3In, relaxed
data_Tb8Sm3In
_chemical_formula_sum 'Tb16 Sm6 In2'
_cell_length_a 8.6596
_cell_length_b 8.6596
_cell_length_c 11.2930
_cell_angle_alpha 90.00
_cell_angle_beta 90.00
_cell_angle_gamma 90.00
_space_group_name_H-M_alt 'I -4 2 m'
_space_group_IT_number 121
_space_group_name_Hall 'I -4 2'
loop_
_atom_site_label
_atom_site_fract_x
_atom_site_fract_y
_atom_site_fract_z
Tb1 0.1260 0.1260 0.2526
Tb2 0.2480 0.2480 0.5136
Sm1 0.0000 0.0000 0.5000
Sm2 0.0000 0.5000 0.2500
In1 0.0000 0.0000 0.0000
# * calculated total energy: -4.00 eV/atom
# * V: 846.8 Å³/cell
# * DOS(E_F): 1.47 states/eV/atom

Record 2
# PBE-GGA Tb4Sm3In, relaxed
data_Tb4Sm3In
_chemical_formula_sum 'Tb8 Sm6 In2'
_cell_length_a 8.3814
_cell_length_b 7.1099
_cell_length_c 8.4279
_cell_angle_alpha 90.00
_cell_angle_beta 95.32
_cell_angle_gamma 90.00
_space_group_name_H-M_alt 'P 1 m 1'
_space_group_IT_number 6
_space_group_name_Hall 'P -2y'
loop_
_atom_site_label
_atom_site_fract_x
_atom_site_fract_y
_atom_site_fract_z
Tb1 0.0000 0.0000 0.0000
Tb2 0.1048 0.0000 0.4190
Tb3 0.3430 0.2418 0.1840
Tb4 0.4893 0.5000 0.5140
Tb5 0.5943 0.5000 0.9409
Tb6 0.7604 0.2478 0.2684
Sm1 0.0099 0.5000 0.0285
Sm2 0.2533 0.2591 0.7531
Sm3 0.5850 0.0000 0.9104
Sm4 0.8333 0.2523 0.6676
In1 0.0933 0.5000 0.4275
In2 0.5026 0.0000 0.5027
# * calculated total energy: -4.54 eV/atom
# * V: 500.1 Å³/cell
# * DOS(E_F): 1.39 states/eV/atom

Record 3
# PBE-GGA Tb3SmIn, relaxed
data_Tb3SmIn
_chemical_formula_sum 'Tb12 Sm4 In4'
_cell_length_a 5.9046
_cell_length_b 12.4876
_cell_length_c 8.7688
_cell_angle_alpha 90.00
_cell_angle_beta 90.00
_cell_angle_gamma 90.00
_space_group_name_H-M_alt 'C m c m'
_space_group_IT_number 63
_space_group_name_Hall '-C 2c 2'
loop_
_atom_site_label
_atom_site_fract_x
_atom_site_fract_y
_atom_site_fract_z
Tb1 0.0000 0.0611 0.2500
Tb2 0.0000 0.1752 0.5687
Sm1 0.0000 0.4320 0.7500
In1 0.0000 0.3155 0.2500
# * V: 646.6 Å³/cell
# * DOS(E_F): 1.23 states/eV/atom
# * offset from the most stable computed form: 0.425 eV/atom

Record 4
# PBE-GGA Tb2Sm2In5, relaxed
data_Tb2Sm2In5
_chemical_formula_sum 'Tb4 Sm4 In10'
_cell_length_a 6.6094
_cell_length_b 8.7476
_cell_length_c 10.2673
_cell_angle_alpha 112.90
_cell_angle_beta 90.06
_cell_angle_gamma 112.19
_space_group_name_H-M_alt 'P 1'
_space_group_IT_number 1
_space_group_name_Hall 'P 1'
loop_
_atom_site_label
_atom_site_fract_x
_atom_site_fract_y
_atom_site_fract_z
Tb1 0.0000 0.0000 0.0000
Tb2 0.2421 0.4880 0.1377
Tb3 0.4971 0.0001 0.5000
Tb4 0.7417 0.4880 0.6377
Sm1 0.1607 0.3248 0.6326
Sm2 0.4057 0.8127 0.7681
Sm3 0.6603 0.3248 0.1326
Sm4 0.9027 0.8128 0.2681
In1 0.0360 0.6086 0.9321
In2 0.0690 0.6084 0.4325
In3 0.3329 0.2026 0.3371
In4 0.3651 0.2023 0.8375
In5 0.4496 0.9031 0.1375
In6 0.5347 0.6086 0.4328
In7 0.5702 0.6083 0.9332
In8 0.8345 0.2029 0.8381
In9 0.8638 0.2027 0.3384
In10 0.9495 0.9032 0.6375
# * calculated total energy: -4.00 eV/atom
# * V: 498.6 Å³/cell
# * DOS(E_F): 0.72 states/eV/atom

Record 5
# PBE-GGA TbSm2In, relaxed
data_TbSm2In
_chemical_formula_sum 'Tb4 Sm8 In4'
_cell_length_a 7.8176
_cell_length_b 7.8176
_cell_length_c 7.8176
_cell_angle_alpha 90.00
_cell_angle_beta 90.00
_cell_angle_gamma 90.00
_space_group_name_H-M_alt 'F m -3 m'
_space_group_IT_number 225
_space_group_name_Hall '-F 4 2 3'
loop_
_atom_site_label
_atom_site_fract_x
_atom_site_fract_y
_atom_site_fract_z
Tb1 0.0000 0.0000 0.0000
Sm1 0.2500 0.2500 0.2500
In1 0.0000 0.0000 0.5000
# * V: 477.8 Å³/cell
# * DOS(E_F): 1.55 states/eV/atom
# * offset from the most stable computed form: 0.130 eV/atom

Record 6
# PBE-GGA Tb8Sm5In, relaxed
data_Tb8Sm5In
_chemical_formula_sum 'Tb16 Sm10 In2'
_cell_length_a 9.6810
_cell_length_b 9.6810
_cell_length_c 9.9140
_cell_angle_alpha 90.00
_cell_angle_beta 90.00
_cell_angle_gamma 90.00
_space_group_name_H-M_alt 'I -4'
_space_group_IT_number 82
_space_group_name_Hall 'I -4'
loop_
_atom_site_label
_atom_site_fract_x
_atom_site_fract_y
_atom_site_fract_z
Tb1 0.0675 0.1718 0.1624
Tb2 0.0858 0.3127 0.4972
Sm1 0.0000 0.5000 0.2500
Sm2 0.1013 0.2894 0.8321
In1 0.0000 0.0000 0.5000
# * calculated total energy: -4.35 eV/atom
# * V: 929.2 Å³/cell
# * DOS(E_F): 1.25 states/eV/atom

Record 7
# PBE-GGA TbSm6In2, relaxed
data_TbSm6In2
_chemical_formula_sum 'Tb2 Sm12 In4'
_cell_length_a 13.0061
_cell_length_b 3.8243
_cell_length_c 12.0051
_cell_angle_alpha 90.00
_cell_angle_beta 108.28
_cell_angle_gamma 90.00
_space_group_name_H-M_alt 'C 1 2/m 1'
_space_group_IT_number 12
_space_group_name_Hall '-C 2y'
loop_
_atom_site_label
_atom_site_fract_x
_atom_site_fract_y
_atom_site_fract_z
Tb1 0.0000 0.0000 0.0000
Sm1 0.0146 0.0000 0.3390
Sm2 0.1847 0.5000 0.8766
Sm3 0.1915 0.5000 0.5871
In1 0.1416 0.5000 0.2026
# * V: 567.0 Å³/cell
# * DOS(E_F): 1.24 states/eV/atom
# * offset from the most stable computed form: 0.000 eV/atom

Record 8
# PBE-GGA Tb5SmIn2, relaxed
data_Tb5SmIn2
_chemical_formula_sum 'Tb10 Sm2 In4'
_cell_length_a 6.8950
_cell_length_b 13.7914
_cell_length_c 4.8678
_cell_angle_alpha 90.00
_cell_angle_beta 90.00
_cell_angle_gamma 90.00
_space_group_name_H-M_alt 'P b a m'
_space_group_IT_number 55
_space_group_name_Hall '-P 2 2ab'
loop_
_atom_site_label
_atom_site_fract_x
_atom_site_fract_y
_atom_site_fract_z
Tb1 0.0000 0.0000 0.0000
Tb2 0.0004 0.2491 0.0000
Tb3 0.2501 0.1257 0.5000
Sm1 0.0000 0.5000 0.0000
In1 0.2480 0.8742 0.5000
# * V: 462.9 Å³/cell
# * DOS(E_F): 1.39 states/eV/atom
# * offset from the most stable computed form: 0.000 eV/atom

Record 9
# PBE-GGA TbSm2In, relaxed
data_TbSm2In
_chemical_formula_sum 'Tb3 Sm6 In3'
_cell_length_a 3.6639
_cell_length_b 3.6639
_cell_length_c 32.8136
_cell_angle_alpha 90.00
_cell_angle_beta 90.00
_cell_angle_gamma 120.00
_space_group_name_H-M_alt 'R 3 m'
_space_group_IT_number 160
_space_group_name_Hall 'R 3 -2"'
loop_
_atom_site_label
_atom_site_fract_x
_atom_site_fract_y
_atom_site_fract_z
Tb1 0.0000 0.0000 0.0000
Sm1 0.0000 0.0000 0.2448
Sm2 0.0000 0.0000 0.4220
In1 0.0000 0.0000 0.8337
# * V: 381.5 Å³/cell
# * DOS(E_F): 1.41 states/eV/atom
# * offset from the most stable computed form: 0.143 eV/atom

Record 10
# PBE-GGA Tb14SmIn, relaxed
data_Tb14SmIn
_chemical_formula_sum 'Tb14 Sm1 In1'
_cell_length_a 7.0679
_cell_length_b 7.0679
_cell_length_c 10.0282
_cell_angle_alpha 90.00
_cell_angle_beta 90.00
_cell_angle_gamma 90.00
_space_group_name_H-M_alt 'P 4/m m m'
_space_group_IT_number 123
_space_group_name_Hall '-P 4 2'
loop_
_atom_site_label
_atom_site_fract_x
_atom_site_fract_y
_atom_site_fract_z
Tb1 0.0000 0.0000 0.0000
Tb2 0.0000 0.5000 0.0000
Tb3 0.0000 0.5000 0.5000
Tb4 0.2492 0.2492 0.2520
Tb5 0.5000 0.5000 0.0000
Sm1 0.5000 0.5000 0.5000
In1 0.0000 0.0000 0.5000
# * calculated total energy: -4.55 eV/atom
# * V: 501.0 Å³/cell
# * DOS(E_F): 1.37 states/eV/atom

Record 11
# PBE-GGA TbSm4In2, relaxed
data_TbSm4In2
_chemical_formula_sum 'Tb2 Sm8 In4'
_cell_length_a 8.5317
_cell_length_b 6.6544
_cell_length_c 8.6190
_cell_angle_alpha 90.00
_cell_angle_beta 118.96
_cell_angle_gamma 90.00
_space_group_name_H-M_alt 'P 1 21/m 1'
_space_group_IT_number 11
_space_group_name_Hall '-P 2yb'
loop_
_atom_site_label
_atom_site_fract_x
_atom_site_fract_y
_atom_site_fract_z
Tb1 0.2476 0.2500 0.1692
Sm1 0.0596 0.0036 0.7311
Sm2 0.3969 0.2500 0.6104
Sm3 0.4573 0.7500 0.9617
In1 0.1725 0.7500 0.1104
In2 0.3103 0.7500 0.5375
# * V: 428.2 Å³/cell
# * DOS(E_F): 1.22 states/eV/atom
# * offset from the most stable computed form: 0.046 eV/atom

Record 12
# PBE-GGA Tb5Sm4In2, relaxed
data_Tb5Sm4In2
_chemical_formula_sum 'Tb15 Sm12 In6'
_cell_length_a 5.2637
_cell_length_b 5.2637
_cell_length_c 46.9050
_cell_angle_alpha 90.00
_cell_angle_beta 90.00
_cell_angle_gamma 120.00
_space_group_name_H-M_alt 'R -3 m'
_space_group_IT_number 166
_space_group_name_Hall '-R 3 2"'
loop_
_atom_site_label
_atom_site_fract_x
_atom_site_fract_y
_atom_site_fract_z
Tb1 0.0000 0.0000 0.0000
Tb2 0.0000 0.0000 0.1483
Tb3 0.0000 0.0000 0.3029
Sm1 0.0000 0.0000 0.0732
Sm2 0.0000 0.0000 0.2261
In1 0.0000 0.0000 0.3795
# * calculated total energy: -4.14 eV/atom
# * V: 1125.4 Å³/cell
# * DOS(E_F): 1.25 states/eV/atom

Record 13
# PBE-GGA Tb4Sm2In, relaxed
data_Tb4Sm2In
_chemical_formula_sum 'Tb12 Sm6 In3'
_cell_length_a 3.6335
_cell_length_b 3.6335
_cell_length_c 58.5925
_cell_angle_alpha 90.00
_cell_angle_beta 90.00
_cell_angle_gamma 120.00
_space_group_name_H-M_alt 'R -3 m'
_space_group_IT_number 166
_space_group_name_Hall '-R 3 2"'
loop_
_atom_site_label
_atom_site_fract_x
_atom_site_fract_y
_atom_site_fract_z
Tb1 0.0000 0.0000 0.0919
Tb2 0.0000 0.0000 0.2906
Sm1 0.0000 0.0000 0.1920
In1 0.0000 0.0000 0.0000
# * V: 669.9 Å³/cell
# * DOS(E_F): 1.60 states/eV/atom
# * offset from the most stable computed form: 0.000 eV/atom

Record 14
# PBE-GGA TbSm3In, relaxed
data_TbSm3In
_chemical_formula_sum 'Tb4 Sm12 In4'
_cell_length_a 4.8815
_cell_length_b 25.5223
_cell_length_c 4.8876
_cell_angle_alpha 90.00
_cell_angle_beta 90.00
_cell_angle_gamma 90.00
_space_group_name_H-M_alt 'C m c m'
_space_group_IT_number 63
_space_group_name_Hall '-C 2c 2'
loop_
_atom_site_label
_atom_site_fract_x
_atom_site_fract_y
_atom_site_fract_z
Tb1 0.0000 0.1506 0.2500
Sm1 0.0000 0.0527 0.7500
Sm2 0.0000 0.2491 0.7500
Sm3 0.0000 0.4474 0.7500
In1 0.0000 0.3467 0.2500
# * V: 608.9 Å³/cell
# * DOS(E_F): 1.25 states/eV/atom
# * offset from the most stable computed form: 0.000 eV/atom

Record 15
# PBE-GGA Tb5SmIn2, relaxed
data_Tb5SmIn2
_chemical_formula_sum 'Tb10 Sm2 In4'
_cell_length_a 3.5959
_cell_length_b 10.5913
_cell_length_c 12.7367
_cell_angle_alpha 90.00
_cell_angle_beta 90.00
_cell_angle_gamma 90.00
_space_group_name_H-M_alt 'I m m m'
_space_group_IT_number 71
_space_group_name_Hall '-I 2 2'
loop_
_atom_site_label
_atom_site_fract_x
_atom_site_fract_y
_atom_site_fract_z
Tb1 0.0000 0.0000 0.0000
Tb2 0.0000 0.2744 0.3650
Sm1 0.0000 0.5000 0.0000
In1 0.0000 0.0000 0.2617
# * V: 485.1 Å³/cell
# * DOS(E_F): 1.48 states/eV/atom
# * offset from the most stable computed form: 0.096 eV/atom

Record 16
# PBE-GGA Tb4Sm5In, relaxed
data_Tb4Sm5In
_chemical_formula_sum 'Tb8 Sm10 In2'
_cell_length_a 10.6305
_cell_length_b 10.6305
_cell_length_c 5.9299
_cell_angle_alpha 90.00
_cell_angle_beta 90.00
_cell_angle_gamma 90.00
_space_group_name_H-M_alt 'I 4 m m'
_space_group_IT_number 107
_space_group_name_Hall 'I 4 -2'
loop_
_atom_site_label
_atom_site_fract_x
_atom_site_fract_y
_atom_site_fract_z
Tb1 0.0000 0.3157 0.0000
Sm1 0.0000 0.0000 0.2112
Sm2 0.1869 0.1869 0.4935
In1 0.0000 0.0000 0.7308
# * V: 670.1 Å³/cell
# * DOS(E_F): 1.35 states/eV/atom
# * offset from the most stable computed form: 0.121 eV/atom

Record 17
# PBE-GGA TbSmIn6, relaxed
data_TbSmIn6
_chemical_formula_sum 'Tb1 Sm1 In6'
_cell_length_a 4.6645
_cell_length_b 4.6645
_cell_length_c 9.3281
_cell_angle_alpha 90.00
_cell_angle_beta 90.00
_cell_angle_gamma 90.00
_space_group_name_H-M_alt 'P 4/m m m'
_space_group_IT_number 123
_space_group_name_Hall '-P 4 2'
loop_
_atom_site_label
_atom_site_fract_x
_atom_site_fract_y
_atom_site_fract_z
Tb1 0.0000 0.0000 0.0000
Sm1 0.0000 0.0000 0.5000
In1 0.0000 0.5000 0.2477
In2 0.5000 0.5000 0.0000
In3 0.5000 0.5000 0.5000
# * V: 203.0 Å³/cell
# * DOS(E_F): 0.34 states/eV/atom
# * offset from the most stable computed form: 0.000 eV/atom

Record 18
# PBE-GGA Tb6SmIn3, relaxed
data_Tb6SmIn3
_chemical_formula_sum 'Tb24 Sm4 In12'
_cell_length_a 10.5209
_cell_length_b 15.3145
_cell_length_c 7.7429
_cell_angle_alpha 90.00
_cell_angle_beta 90.00
_cell_angle_gamma 90.00
_space_group_name_H-M_alt 'C m c 21'
_space_group_IT_number 36
_space_group_name_Hall 'C 2c -2'
loop_
_atom_site_label
_atom_site_fract_x
_atom_site_fract_y
_atom_site_fract_z
Tb1 0.0000 0.0485 0.0000
Tb2 0.0000 0.3027 0.8305
Tb3 0.2341 0.4668 0.8091
Tb4 0.2369 0.3126 0.4965
Sm1 0.0000 0.2149 0.2853
In1 0.0000 0.4473 0.5233
In2 0.1453 0.1336 0.6348
# * V: 1247.6 Å³/cell
# * DOS(E_F): 1.23 states/eV/atom
# * offset from the most stable computed form: 0.128 eV/atom

Record 19
# PBE-GGA Tb3Sm2In2, relaxed
data_Tb3Sm2In2
_chemical_formula_sum 'Tb6 Sm4 In4'
_cell_length_a 16.9959
_cell_length_b 3.5834
_cell_length_c 7.6613
_cell_angle_alpha 90.00
_cell_angle_beta 113.43
_cell_angle_gamma 90.00
_space_group_name_H-M_alt 'C 1 2/m 1'
_space_group_IT_number 12
_space_group_name_Hall '-C 2y'
loop_
_atom_site_label
_atom_site_fract_x
_atom_site_fract_y
_atom_site_fract_z
Tb1 0.0000 0.0000 0.0000
Tb2 0.1963 0.0000 0.3050
Sm1 0.1400 0.0000 0.7827
In1 0.0519 0.5000 0.3822
# * V: 428.1 Å³/cell
# * DOS(E_F): 1.24 states/eV/atom
# * offset from the most stable computed form: 0.027 eV/atom

Record 20
# PBE-GGA TbSmIn, relaxed
data_TbSmIn
_chemical_formula_sum 'Tb1 Sm1 In1'
_cell_length_a 5.2756
_cell_length_b 5.2756
_cell_length_c 3.6786
_cell_angle_alpha 90.00
_cell_angle_beta 90.00
_cell_angle_gamma 120.00
_space_group_name_H-M_alt 'P 3 m 1'
_space_group_IT_number 156
_space_group_name_Hall 'P 3 -2"'
loop_
_atom_site_label
_atom_site_fract_x
_atom_site_fract_y
_atom_site_fract_z
Tb1 0.0000 0.0000 0.0000
Sm1 0.6667 0.3333 0.5591
In1 0.3333 0.6667 0.2384
# * V: 88.7 Å³/cell
# * DOS(E_F): 0.70 states/eV/atom
# * offset from the most stable computed form: 0.110 eV/atom